Computed, not measured: a relaxed structure of Ti2H2Pb at the PBE level of DFT.

POSCAR file:
```
Ti2H2Pb
1.0
-1.8112 1.8112 4.6868
1.8112 -1.8112 4.6868
1.8112 1.8112 -4.6868
Ti H Pb
2 2 1
Direct
0.1753 0.1753 0.0000 Ti
0.8247 0.8247 0.0000 Ti
0.2500 0.7500 0.5000 H
0.7500 0.2500 0.5000 H
0.5000 0.5000 0.0000 Pb
```

Summary:
As for the density of states at the Fermi level: 2.23 states/eV/cell. For the polymorph energy (0 for the lowest one), the calculation gives 0.0 meV/atom.